Record 1
VASP calculation (PBE-GGA) on crystalline Hf3SiAg at its relaxed geometry.

Computed properties:
Relative energy among the computed polymorphs = 737 meV/atom
Symmetry = Pm-3m (221)
Calculated volume = 126.8 Å³ per cell
Energy relative to the elements, uncorrected = 1.06 eV per atom
Total magnetization = 0.0 μB/f.u.

Cell: 5.023 5.023 5.023 Å, 90.00 90.00 90.00°
Positions (direct):
Hf  0.000  0.000  0.500
Hf  0.000  0.500  0.000
Hf  0.500  0.000  0.000
Si  0.500  0.500  0.500
Ag  0.000  0.000  0.000

Record 2
VASP calculation (PBE-GGA) on crystalline HfSiAg2 at its relaxed geometry.

Computed properties:
Symmetry = I-42d (122)
Calculated volume = 153.5 Å³ per cell
Energy relative to the elements, uncorrected = 0.05 eV per atom
Total magnetization = 0.0 μB/f.u.

Cell: 10.781 10.781 10.781 Å, 159.51 159.51 29.14°
Positions (direct):
Hf  0.000  0.000  0.000
Hf  0.750  0.250  0.500
Si  0.250  0.750  0.500
Si  0.500  0.500  0.000
Ag  0.130  0.625  0.005
Ag  0.375  0.380  0.505
Ag  0.620  0.125  0.995
Ag  0.875  0.870  0.495

Record 3
VASP calculation (PBE-GGA) on crystalline SmHfAg2 at its relaxed geometry.

Computed properties:
Symmetry = P4/mmm (123)
Energy of formation from the pure elements = -0.054 eV/atom
Calculated volume = 89.9 Å³ per cell
Total magnetization = 0.9 μB/f.u.

Cell: 3.461 3.461 7.506 Å, 90.00 90.00 90.00°
Positions (direct):
Sm  0.000  0.000  0.000
Hf  0.000  0.000  0.500
Ag  0.500  0.500  0.284
Ag  0.500  0.500  0.716

Record 4
VASP calculation (PBE-GGA) on crystalline Sm2HfAg at its relaxed geometry.

Computed properties:
Relative energy among the computed polymorphs = 390 meV/atom
Symmetry = R-3m (166)
Energy of formation from the pure elements = 0.353 eV/atom
Calculated volume = 105.5 Å³ per cell
Total magnetization = 0.0 μB/f.u.

Cell: 11.761 11.761 11.761 Å, 15.83 15.83 15.83°
Positions (direct):
Sm  0.091  0.091  0.091
Sm  0.909  0.909  0.909
Hf  0.000  0.000  0.000
Ag  0.500  0.500  0.500